[1]
Here is a relaxed structure of CoHPt2 from Alexandria via LeMat-Bulk. Energies are from PBE.

Results
The total DFT energy (no corrections) comes out at -43.68 eV/cell. The density is 15.71 g cm⁻³. As for the space group: I-42d, No. 122. As for the excess energy over the best structure of this formula in the dataset: 0 meV per atom.

Structure (extended XYZ):
```
8
Lattice="-2.369 -4.056 -3.845 5.539 -1.142 -2.207 1.904 -4.458 -1.262" Properties=species:S:1:pos:R:3 pbc="T T T"
H 1.585 -2.599 -3.026
H 4.514 -4.100 -3.248
Co 0.000 0.000 0.000
Co 0.560 -5.557 -4.067
Pt -0.094 -3.419 -2.640
Pt 3.423 -2.709 -2.530
Pt 3.128 -5.399 -3.420
Pt 3.691 -7.787 -6.039
```

[2]
Here is a relaxed structure of K2In6Pt from Alexandria via LeMat-Bulk. Energies are from PBE.

Results
The total DFT energy (no corrections) comes out at -26.37 eV/cell. The formation energy from the elements is -0.19 eV/atom. The density is 6.34 g cm⁻³. As for the space group: P-3m1, No. 164.

Structure (extended XYZ):
```
9
Lattice="-4.801 3.769 -0.919 -4.076 -5.435 -0.997 -3.267 -2.865 5.318" Properties=species:S:1:pos:R:3 pbc="T T T"
K -8.830 -2.442 2.126
K -3.314 -2.089 1.276
In -5.585 -3.062 3.790
In -7.576 -5.719 3.300
In -5.982 -4.320 0.699
In -6.558 -1.470 -0.388
In -4.568 1.187 0.102
In -6.162 -0.211 2.703
Pt 0.000 0.000 0.000
```

Let's list DOS at the Fermi energy in order: 11.25; 4.77 states/eV/cell.